LiHgAu2: optimized geometry, PBE.

```
LiHgAu2
1.0
-0.8502 1.4795 -2.4213
0.5704 -2.3976 -1.6434
-7.7411 -2.6113 1.1228
Au Li Hg
2 1 1
Direct
0.5000 0.5000 0.2366
0.0000 0.0000 0.9774
0.5000 0.5000 0.7646
0.0000 0.0000 0.5214
```

Computed properties:
As for the space-group type: Cmm2 (35). The value obtained for the formation enthalpy at 0 K is -0.20 eV/atom. The total magnetization comes out at 0.000 μB per atom.